{
  "formula": "YAuIO2",
  "functional": "PBE",
  "state": "optimized geometry",
  "total_magnetization_mub_per_cell": 0.00,
  "n_ef_per_ev_cell": 2.80,
  "final_energy_ev_per_cell": -26.5,
  "space_group": "No. 123",
  "cell": [[4.2411, 0.0000, 0.0000], [0.0000, 4.2411, 0.0000], [0.0000, 0.0000, 6.8978]],
  "species": ["Y", "Au", "I", "O", "O"],
  "frac_coords": [[0.0000, 0.0000, 0.0000], [0.5000, 0.5000, 0.5000], [0.0000, 0.0000, 0.5000], [0.0000, 0.5000, 0.0000], [0.5000, 0.0000, 0.0000]]
}